Entry 1:
The following is a DFT calculation (PBE) of a relaxed CsSm2Y crystal.

Computed properties:
The calculation puts the density at 5.50 g/cm3. The value obtained for the total energy is -3.90 eV per atom. The formation enthalpy at 0 K is 0.29 eV per atom. As for the space group: R-3m, No. 166.

abc: 3.6980 3.6980 13.4794
angles: 82.12 82.12 60.00
Atoms (fractional coordinates):
Y  0.5000  0.5000  0.5000
Sm  0.0955  0.0955  0.7134
Sm  0.9045  0.9045  0.2866
Cs  0.0000  0.0000  0.0000

***

Entry 2:
The following is a DFT calculation (PBE) of a relaxed CsSn crystal.

Computed properties:
The calculation puts the density at 2.17 g/cm3. The value obtained for the total energy is -1.80 eV per atom. The formation enthalpy at 0 K is 0.63 eV per atom. As for the space group: F-43m, No. 216.

abc: 9.1714 9.1714 9.1714
angles: 90.00 90.00 90.00
Each line ends with the local moment (μB).
Atoms (fractional coordinates):
Cs  0.0000  0.0000  0.0000  0.07
Cs  0.0000  0.5000  0.5000  0.07
Cs  0.5000  0.5000  0.0000  0.07
Cs  0.5000  0.0000  0.5000  0.07
Sn  0.7500  0.7500  0.2500  0.95
Sn  0.2500  0.2500  0.2500  0.95
Sn  0.7500  0.2500  0.7500  0.95
Sn  0.2500  0.7500  0.7500  0.95

***

Entry 3:
The following is a DFT calculation (PBE) of a relaxed CsSn crystal.

Computed properties:
The calculation puts the density at 4.10 g/cm3. The value obtained for the total energy is -2.64 eV per atom. The formation enthalpy at 0 K is -0.22 eV per atom. As for the space group: P2_1/m, No. 11.

abc: 4.6547 6.0823 7.8203
angles: 112.88 90.00 90.00
Atoms (fractional coordinates):
Cs  0.7500  0.3511  0.7029
Cs  0.2500  0.6489  0.2971
Sn  0.2500  0.9401  0.8825
Sn  0.7500  0.0599  0.1175

***

Entry 4:
The following is a DFT calculation (PBE) of a relaxed CsSn crystal.

Computed properties:
The calculation puts the density at 4.39 g/cm3. The value obtained for the total energy is -2.75 eV per atom. The formation enthalpy at 0 K is -0.32 eV per atom. As for the space group: I4_1/acd, No. 142.

abc: 13.3032 13.3032 13.3032
angles: 124.88 124.88 81.73
Atoms (fractional coordinates):
Sn  0.7413  0.4074  0.5430
Sn  0.8645  0.1983  0.4570
Sn  0.0926  0.7587  0.4570
Sn  0.2413  0.6983  0.3338
Sn  0.3645  0.9074  0.6662
Sn  0.9483  0.9913  0.8338
Sn  0.3017  0.6355  0.5430
Sn  0.3855  0.3426  0.8338
Sn  0.8017  0.2587  0.6662
Sn  0.0087  0.8426  0.9570
Sn  0.5926  0.1355  0.3338
Sn  0.6574  0.4913  0.0430
Sn  0.4483  0.6145  0.9570
Sn  0.1574  0.1145  0.1662
Sn  0.8855  0.0517  0.0430
Sn  0.5087  0.5517  0.1662
Cs  0.6250  0.2342  0.1092
Cs  0.1250  0.0158  0.3908
Cs  0.6295  0.8705  0.0000
Cs  0.8705  0.6295  0.0000
Cs  0.3795  0.8795  0.2589
Cs  0.9842  0.3750  0.1092
Cs  0.3705  0.3705  0.2411
Cs  0.1205  0.3795  0.5000
Cs  0.2658  0.8750  0.8908
Cs  0.8795  0.6205  0.5000
Cs  0.4842  0.3750  0.6092
Cs  0.1295  0.1295  0.7589
Cs  0.6205  0.1205  0.7411
Cs  0.6250  0.7342  0.6092
Cs  0.1250  0.5158  0.8908
Cs  0.7658  0.8750  0.3908

***

Entry 5:
The following is a DFT calculation (PBE) of a relaxed CsSn crystal.

Computed properties:
The calculation puts the density at 3.24 g/cm3. The value obtained for the total energy is -2.47 eV per atom. The formation enthalpy at 0 K is -0.04 eV per atom. As for the space group: P4_2/mnm, No. 136.

abc: 8.1021 8.1021 7.8637
angles: 90.00 90.00 90.00
Atoms (fractional coordinates):
Cs  0.3261  0.3261  0.0000
Cs  0.8261  0.1739  0.5000
Cs  0.6739  0.6739  0.0000
Cs  0.1739  0.8261  0.5000
Sn  0.1153  0.8847  0.0000
Sn  0.6153  0.6153  0.5000
Sn  0.8847  0.1153  0.0000
Sn  0.3847  0.3847  0.5000

***

Entry 6:
The following is a DFT calculation (PBE) of a relaxed CsSn crystal.

Computed properties:
The calculation puts the density at 4.32 g/cm3. The value obtained for the total energy is -2.64 eV per atom. The formation enthalpy at 0 K is -0.21 eV per atom. As for the space group: Pnma, No. 62.

abc: 7.8203 8.3923 11.7846
angles: 90.00 90.00 90.00
Atoms (fractional coordinates):
Cs  0.8683  0.7500  0.6357
Cs  0.4988  0.7500  0.2136
Cs  0.5012  0.2500  0.7864
Cs  0.9988  0.7500  0.2864
Cs  0.1317  0.2500  0.3643
Cs  0.6317  0.2500  0.1357
Cs  0.3683  0.7500  0.8643
Cs  0.0012  0.2500  0.7136
Sn  0.8526  0.9196  0.9541
Sn  0.6474  0.0804  0.4541
Sn  0.1474  0.4196  0.0459
Sn  0.1474  0.0804  0.0459
Sn  0.6474  0.4196  0.4541
Sn  0.3526  0.5804  0.5459
Sn  0.3526  0.9196  0.5459
Sn  0.8526  0.5804  0.9541

***

Entry 7:
The following is a DFT calculation (PBE) of a relaxed CsSn5 crystal.

Computed properties:
The calculation puts the density at 5.74 g/cm3. The value obtained for the total energy is -3.59 eV per atom. The formation enthalpy at 0 K is -0.11 eV per atom. As for the space group: C2/m, No. 12.

abc: 5.3530 5.3703 8.4351
angles: 90.10 90.00 119.89
Atoms (fractional coordinates):
Sn  0.5000  0.0000  0.0000
Sn  0.1662  0.3324  0.8536
Sn  0.8338  0.6676  0.1464
Sn  0.8334  0.6668  0.7935
Sn  0.1666  0.3332  0.2065
Cs  0.5000  0.0000  0.5000

***

Entry 8:
The following is a DFT calculation (PBE) of a relaxed CsSn crystal.

Computed properties:
The calculation puts the density at 3.68 g/cm3. The value obtained for the total energy is -2.51 eV per atom. The formation enthalpy at 0 K is -0.08 eV per atom. As for the space group: Fddd, No. 70.

abc: 9.0357 13.0497 15.4262
angles: 90.00 90.00 90.00
Atoms (fractional coordinates):
Sn  0.1041  0.7500  0.7500
Sn  0.1459  0.5000  0.0000
Sn  0.1459  0.0000  0.5000
Sn  0.6041  0.7500  0.2500
Sn  0.8541  0.5000  0.0000
Sn  0.3959  0.7500  0.7500
Sn  0.8541  0.0000  0.5000
Sn  0.1041  0.2500  0.2500
Sn  0.3541  0.5000  0.5000
Sn  0.3541  0.0000  0.0000
Sn  0.6459  0.5000  0.5000
Sn  0.3959  0.2500  0.2500
Sn  0.6041  0.2500  0.7500
Sn  0.6459  0.0000  0.0000
Sn  0.8959  0.2500  0.7500
Sn  0.8959  0.7500  0.2500
Cs  0.7500  0.4476  0.2500
Cs  0.5000  0.1976  0.5000
Cs  0.0000  0.6976  0.5000
Cs  0.7500  0.0524  0.2500
Cs  0.7500  0.5524  0.7500
Cs  0.2500  0.9476  0.2500
Cs  0.0000  0.3024  0.5000
Cs  0.2500  0.4476  0.7500
Cs  0.5000  0.3024  0.0000
Cs  0.5000  0.8024  0.5000
Cs  0.0000  0.8024  0.0000
Cs  0.0000  0.1976  0.0000
Cs  0.2500  0.5524  0.2500
Cs  0.7500  0.9476  0.7500
Cs  0.2500  0.0524  0.7500
Cs  0.5000  0.6976  0.0000

***

Entry 9:
The following is a DFT calculation (PBE) of a relaxed Cs6Sn crystal.

Computed properties:
The calculation puts the density at 1.27 g/cm3. The value obtained for the total energy is -0.73 eV per atom. The formation enthalpy at 0 K is 0.58 eV per atom. As for the space group: Im-3m, No. 229.

abc: 11.5901 11.5901 11.5901
angles: 109.47 109.47 109.47
Each line ends with the local moment (μB).
Atoms (fractional coordinates):
Cs  0.5000  0.7500  0.2500  0.00
Cs  0.5000  0.2500  0.7500  0.00
Cs  0.7500  0.2500  0.5000  0.00
Cs  0.2500  0.5000  0.7500  0.00
Cs  0.2500  0.7500  0.5000  0.00
Cs  0.7500  0.5000  0.2500  0.00
Sn  0.0000  0.0000  0.0000  0.81

***

Entry 10:
The following is a DFT calculation (PBE) of a relaxed Cs2Sn crystal.

Computed properties:
The calculation puts the density at 3.43 g/cm3. The value obtained for the total energy is -2.05 eV per atom. The formation enthalpy at 0 K is -0.14 eV per atom. As for the space group: C2/m, No. 12.

abc: 4.6708 7.5571 11.8686
angles: 70.09 78.65 72.00
Atoms (fractional coordinates):
Sn  0.2080  0.6250  0.9591
Sn  0.7920  0.3750  0.0409
Cs  0.1748  0.3156  0.3348
Cs  0.8252  0.6844  0.6652
Cs  0.4772  0.8772  0.1684
Cs  0.5228  0.1228  0.8316

***

Entry 11:
The following is a DFT calculation (PBE) of a relaxed CsSn crystal.

Computed properties:
The calculation puts the density at 4.18 g/cm3. The value obtained for the total energy is -2.76 eV per atom. The formation enthalpy at 0 K is -0.33 eV per atom. As for the space group: P-43n, No. 218.

abc: 14.7395 14.7395 14.7395
angles: 90.00 90.00 90.00
Atoms (fractional coordinates):
Cs  0.3341  0.3341  0.3341
Cs  0.6412  0.4333  0.1634
Cs  0.8341  0.1659  0.1659
Cs  0.8366  0.3588  0.4333
Cs  0.6659  0.6659  0.3341
Cs  0.1634  0.3588  0.5667
Cs  0.5667  0.1634  0.3588
Cs  0.9333  0.1412  0.6634
Cs  0.0667  0.8588  0.6634
Cs  0.3588  0.5667  0.1634
Cs  0.8341  0.8341  0.8341
Cs  0.1412  0.3366  0.0667
Cs  0.6634  0.9333  0.1412
Cs  0.6634  0.0667  0.8588
Cs  0.8588  0.3366  0.9333
Cs  0.4333  0.1634  0.6412
Cs  0.1659  0.1659  0.8341
Cs  0.8588  0.6634  0.0667
Cs  0.1634  0.6412  0.4333
Cs  0.3341  0.6659  0.6659
Cs  0.6659  0.3341  0.6659
Cs  0.5667  0.8366  0.6412
Cs  0.4333  0.8366  0.3588
Cs  0.9333  0.8588  0.3366
Cs  0.8366  0.6412  0.5667
Cs  0.6412  0.5667  0.8366
Cs  0.0667  0.1412  0.3366
Cs  0.3588  0.4333  0.8366
Cs  0.3366  0.0667  0.1412
Cs  0.1412  0.6634  0.9333
Cs  0.1659  0.8341  0.1659
Cs  0.3366  0.9333  0.8588
Sn  0.4222  0.6797  0.9337
Sn  0.4337  0.8203  0.0778
Sn  0.5778  0.3203  0.9337
Sn  0.5663  0.8203  0.9222
Sn  0.3203  0.9337  0.5778
Sn  0.4337  0.1797  0.9222
Sn  0.0778  0.4337  0.8203
Sn  0.5663  0.1797  0.0778
Sn  0.6797  0.0663  0.5778
Sn  0.9222  0.4337  0.1797
Sn  0.5716  0.5716  0.5716
Sn  0.1797  0.9222  0.4337
Sn  0.8203  0.9222  0.5663
Sn  0.8203  0.0778  0.4337
Sn  0.6797  0.9337  0.4222
Sn  0.9222  0.5663  0.8203
Sn  0.9284  0.9284  0.0716
Sn  0.0663  0.4222  0.3203
Sn  0.9337  0.4222  0.6797
Sn  0.3203  0.0663  0.4222
Sn  0.5716  0.4284  0.4284
Sn  0.4222  0.3203  0.0663
Sn  0.9337  0.5778  0.3203
Sn  0.4284  0.5716  0.4284
Sn  0.9284  0.0716  0.9284
Sn  0.0716  0.9284  0.9284
Sn  0.0663  0.5778  0.6797
Sn  0.5778  0.6797  0.0663
Sn  0.1797  0.0778  0.5663
Sn  0.4284  0.4284  0.5716
Sn  0.0778  0.5663  0.1797
Sn  0.0716  0.0716  0.0716

***

Entry 12:
The following is a DFT calculation (PBE) of a relaxed CsSn crystal.

Computed properties:
The calculation puts the density at 4.85 g/cm3. The value obtained for the total energy is -2.10 eV per atom. The formation enthalpy at 0 K is 0.33 eV per atom. As for the space group: P6_3mc, No. 186.

abc: 3.7878 3.7878 13.8559
angles: 90.00 90.00 120.00
Atoms (fractional coordinates):
Cs  0.3333  0.6667  0.8248
Cs  0.6667  0.3333  0.3248
Sn  0.6667  0.3333  0.5932
Sn  0.3333  0.6667  0.0932